{
  "formula": "TlReTe2",
  "functional": "PBE-GGA",
  "state": "optimized geometry",
  "e_form_raw_ev_per_fu": 3.94,
  "polymorph_energy_mev_per_atom": 746,
  "lattice": [[3.091, -4.157, 0.000], [3.091, 4.157, 0.000], [0.000, 0.000, 3.614]],
  "species": ["Tl", "Re", "Te", "Te"],
  "frac_coords": [[0.000, 0.000, 0.000], [0.500, 0.500, 0.000], [0.000, 0.500, 0.500], [0.500, 0.000, 0.500]]
}